Entry from Alexandria via LeMat-Bulk: crystalline PrHoZr at its relaxed geometry (PBE).

a b c (Å): 7.965 7.965 7.965
angles (deg): 155.26 155.26 35.27
Positions (direct):
Pr: 0.000 0.000 0.000
Ho: 0.689 0.689 0.000
Zr: 0.337 0.337 0.000

Output
Formation enthalpy at 0 K ... 0.108 eV per atom
DOS at the Fermi energy ... 4.43 states/eV/cell
Distance to the lowest polymorph of the same formula ... 0.000 eV per atom
Mass density ... 7.5 g cm⁻³